VASP calculation (PBEsol) on crystalline SrLaAu2 at its relaxed geometry.

```
SrLaAu2
1.0
-1.371 3.930 -1.258
-2.070 -3.569 -1.380
-2.555 1.383 7.100
Au Sr La
2 1 1
Cartesian
-1.949 -0.461 0.683
-4.047 2.204 3.779
-1.277 0.691 3.550
-0.685 1.965 -0.629
```

Values from the calculation:
ΔE_f (eV/atom): -0.6472
D(E_F) (states/eV/atom): 0.544
Magnetic moment (μB per cell): 0.000
Electronic total energy (eV/atom): -4.41

VASP calculation (PBEsol) on crystalline U3TiSb5 at its relaxed geometry.

```
U3TiSb5
1.0
6.001 0.000 0.000
0.000 8.982 0.000
0.000 -4.491 7.779
Sb Ti U
10 2 6
Cartesian
1.500 -3.310 5.733
4.501 2.362 0.000
0.000 0.000 5.186
3.001 0.000 5.186
1.500 1.181 2.046
1.500 6.619 0.000
3.001 4.491 2.593
4.501 -1.181 2.046
0.000 4.491 2.593
4.501 3.310 5.733
3.001 0.000 0.000
0.000 0.000 0.000
1.500 -1.750 3.032
4.501 5.481 0.000
1.500 2.740 4.747
4.501 1.750 3.032
4.501 -2.740 4.747
1.500 3.501 0.000
```

Values from the calculation:
Formation energy from raw total energies (eV/atom): -0.325
D(E_F) (states/eV/atom): 1.936
Magnetic moment (μB per cell): 15.144
Electronic total energy (eV/atom): -7.83

VASP calculation (PBEsol) on crystalline Co4AsBr at its relaxed geometry.

```
Co4AsBr
1.0
-1.819 -2.802 -3.504
2.377 -0.488 -4.189
2.139 -4.202 -1.094
As Co Br
1 4 1
Cartesian
2.024 -5.619 -6.589
2.194 -3.059 -5.382
0.112 -4.207 -5.042
1.014 -2.817 -3.303
2.076 -4.902 -3.846
0.000 0.000 0.000
```

Values from the calculation:
Formation energy from raw total energies (eV/atom): 0.656
D(E_F) (states/eV/atom): 1.479
Magnetic moment (μB per cell): 6.482
Electronic total energy (eV/atom): -5.66

VASP calculation (PBEsol) on crystalline ScSiPb2 at its relaxed geometry.

```
ScSiPb2
1.0
-2.114 -1.332 -2.933
1.942 -3.326 0.111
-4.102 -2.262 3.985
Pb Sc Si
2 1 1
Cartesian
-3.050 -1.682 2.963
-1.052 -0.580 1.022
-0.086 -2.329 -1.411
-2.137 -3.460 0.582
```

Values from the calculation:
Formation energy from raw total energies (eV/atom): 0.019
D(E_F) (states/eV/atom): 0.749
Magnetic moment (μB per cell): 0.000
Electronic total energy (eV/atom): -5.07

> Among the records above, which one has the lowest electronic total energy?

U3TiSb5

> D(E_F) of number 3 (Co4AsBr)?

1.479 states/eV/atom